Here is a relaxed structure of Ni5GePt8 from Alexandria via LeMat-Bulk. Energies are from PBE.

Space group = I-4, No. 82
Calculated total energy = -5.8098 eV per atom
Fermi-level density of states = 1.387 states/eV per atom

Unit cell a=6.4522 b=6.4522 c=6.4522 alpha=110.67 beta=107.10 gamma=110.67
Last column: nearest neighbours and their distance in Å.
Positions (direct):
Ni 0.0314 0.3125 0.1218  8 Pt 2.53-2.72, 2 Ni 2.68
Ni 0.8782 0.9096 0.1907  8 Pt 2.53-2.72, 2 Ni 2.68
Ni 0.8093 0.6875 0.7189  8 Pt 2.53-2.72, 2 Ni 2.68
Ni 0.5000 0.0000 0.5000  8 Pt 2.46-2.58
Ni 0.2811 0.0904 0.9686  8 Pt 2.53-2.72, 2 Ni 2.68
Ge 0.2500 0.5000 0.7500  4 Pt 2.42
Pt 0.1522 0.7171 0.0644  1 Ge 2.42, 5 Ni 2.46-2.65
Pt 0.9356 0.0878 0.6527  1 Ge 2.42, 5 Ni 2.46-2.65
Pt 0.7356 0.2626 0.3384  5 Ni 2.58-2.72, 4 Pt 2.69-2.86
Pt 0.6616 0.3972 0.9243  5 Ni 2.58-2.72, 4 Pt 2.69-2.86
Pt 0.5271 0.6028 0.2644  5 Ni 2.58-2.72, 4 Pt 2.69-2.86
Pt 0.5650 0.9122 0.8478  1 Ge 2.42, 5 Ni 2.46-2.65
Pt 0.3473 0.2829 0.4350  1 Ge 2.42, 5 Ni 2.46-2.65
Pt 0.0757 0.7374 0.4729  5 Ni 2.58-2.72, 4 Pt 2.69-2.86